[1]
Dy8NiHg2 (PBE, relaxed); space group = No. 12; formation energy from the elements = -0.22 eV/atom; DFT total energy = -4.145 eV/atom; ΔE to the lowest computed polymorph = 0.000 eV/atom
1.0
-3.587 -2.496 -2.799
-2.356 -2.934 5.635
-2.897 8.693 0.772
Dy Ni Hg
8 1 2
Direct
0.412 0.563 0.824
0.651 0.963 0.301
0.797 0.690 0.595
0.978 0.222 0.955
0.203 0.310 0.405
0.349 0.037 0.699
0.588 0.437 0.176
0.022 0.778 0.045
0.500 0.000 0.000
0.810 0.263 0.619
0.190 0.737 0.381

[2]
La2AgBr (PBE, relaxed); raw formation energy = -30.37 kJ per mole of atoms; space group = No. 122; DFT total energy = -3.909 eV/atom; ΔE to the lowest computed polymorph = 0.444 eV/atom
1.0
5.643 0.000 0.000
0.000 5.643 0.000
2.822 2.822 9.110
Br Ag La
2 2 4
Direct
0.500 0.500 0.000
0.250 0.750 0.500
0.000 0.000 0.000
0.750 0.250 0.500
0.608 0.125 0.250
0.142 0.625 0.250
0.375 0.392 0.750
0.875 0.858 0.750

[3]
NaPmGa4 (PBE, relaxed); space group = No. 216; formation energy from the elements = -0.33 eV/atom; DFT total energy = -3.364 eV/atom; ΔE to the lowest computed polymorph = 0.049 eV/atom
1.0
-1.083 5.283 -1.471
-3.763 1.074 -3.991
-4.905 2.324 1.336
Na Ga Pm
1 4 1
Direct
0.250 0.250 0.250
0.625 0.625 0.124
0.625 0.124 0.625
0.625 0.625 0.625
0.124 0.625 0.625
0.000 0.000 0.000

[4]
NiTePt3 (PBE, relaxed); raw formation energy = 75.78 kJ per mole of atoms; space group = No. 221; DFT total energy = -4.624 eV/atom; ΔE to the lowest computed polymorph = 0.000 eV/atom
1.0
4.612 0.000 0.000
0.000 4.612 0.000
0.000 0.000 4.612
Ni Te Pt
1 1 3
Direct
0.000 0.000 0.000
0.500 0.500 0.500
0.000 0.500 0.000
0.000 0.000 0.500
0.500 0.000 0.000

[5]
HfTcAs (PBE, relaxed); space group = No. 8; formation energy from the elements = -0.46 eV/atom; DFT total energy = -8.783 eV/atom; ΔE to the lowest computed polymorph = 0.290 eV/atom
1.0
-1.222 1.650 -4.080
-3.118 -0.852 0.589
-1.668 11.736 8.141
As Hf Tc
4 4 4
Direct
0.528 0.000 0.415
0.528 0.500 0.915
0.186 0.000 0.636
0.186 0.500 0.136
0.066 0.000 0.972
0.066 0.500 0.472
0.968 0.000 0.270
0.968 0.500 0.770
0.506 0.000 0.788
0.506 0.500 0.288
0.660 0.000 0.587
0.660 0.500 0.087

[6]
NaDy5Hg6 (PBE, relaxed); space group = No. 65; formation energy from the elements = -0.44 eV/atom; DFT total energy = -2.619 eV/atom
1.0
-3.010 -2.289 -3.633
-2.972 -4.357 5.208
-7.117 4.209 -0.540
Na Hg Dy
1 6 5
Direct
0.000 0.000 0.000
0.832 0.752 0.336
0.832 0.248 0.336
0.500 0.256 0.000
0.500 0.744 0.000
0.168 0.752 0.664
0.168 0.248 0.664
0.666 0.500 0.668
0.338 0.000 0.325
0.000 0.500 0.000
0.662 0.000 0.675
0.334 0.500 0.332

[7]
Re2SiPt (PBE, relaxed); raw formation energy = 16.26 kJ per mole of atoms; space group = No. 123; DFT total energy = -8.921 eV/atom
1.0
-0.096 -3.814 -1.588
3.485 -0.621 1.281
-1.421 -1.309 3.231
Pt Re Si
1 2 1
Direct
0.500 0.000 0.500
0.000 0.000 0.000
0.000 0.500 0.500
0.500 0.500 0.000

[8]
Pm2NbP3Rh4 (PBE, relaxed); space group = No. 115; formation energy from the elements = -0.99 eV/atom; DFT total energy = -7.514 eV/atom
1.0
4.060 0.000 0.000
0.000 4.060 0.000
0.000 0.000 10.490
Pm Nb P Rh
2 1 3 4
Direct
0.500 0.000 0.232
0.000 0.500 0.768
0.500 0.500 0.500
0.000 0.000 0.500
0.500 0.000 0.865
0.000 0.500 0.135
0.500 0.500 0.000
0.000 0.000 0.000
0.500 0.000 0.641
0.000 0.500 0.359

[9]
PmSmTh2P4 (PBE, relaxed); space group = No. 10; formation energy from the elements = -1.58 eV/atom; DFT total energy = -7.320 eV/atom
1.0
-3.001 2.849 0.072
-3.953 -4.054 -4.349
-4.097 -4.414 3.887
Pm Sm Th P
1 1 2 4
Direct
0.500 0.500 0.000
0.000 0.500 0.500
0.000 0.000 0.000
0.500 0.000 0.500
0.000 0.751 0.749
0.000 0.249 0.251
0.500 0.751 0.250
0.500 0.249 0.750

[10]
CsK4O (PBE, relaxed); raw formation energy = -46.83 kJ per mole of atoms; space group = No. 12; DFT total energy = -2.186 eV/atom; ΔE to the lowest computed polymorph = 0.000 eV/atom
1.0
-1.551 -5.786 -5.329
1.037 -6.284 6.522
-9.706 7.652 2.547
Cs K O
2 8 2
Direct
0.073 0.180 0.360
0.927 0.820 0.640
0.772 0.322 0.644
0.501 0.395 0.197
0.000 0.326 0.000
0.499 0.198 0.803
0.228 0.678 0.356
0.499 0.605 0.803
0.000 0.674 0.000
0.501 0.802 0.197
0.734 0.421 0.842
0.266 0.579 0.158

Number 8 is which compound? Pm2NbP3Rh4

Please write out number 6 again, unchanged.
NaDy5Hg6 (PBE, relaxed); space group = No. 65; formation energy from the elements = -0.44 eV/atom; DFT total energy = -2.619 eV/atom
1.0
-3.010 -2.289 -3.633
-2.972 -4.357 5.208
-7.117 4.209 -0.540
Na Hg Dy
1 6 5
Direct
0.000 0.000 0.000
0.832 0.752 0.336
0.832 0.248 0.336
0.500 0.256 0.000
0.500 0.744 0.000
0.168 0.752 0.664
0.168 0.248 0.664
0.666 0.500 0.668
0.338 0.000 0.325
0.000 0.500 0.000
0.662 0.000 0.675
0.334 0.500 0.332

What is the DFT total energy in the third record? -3.364 eV/atom

Copy entry 6 word for word.
NaDy5Hg6 (PBE, relaxed); space group = No. 65; formation energy from the elements = -0.44 eV/atom; DFT total energy = -2.619 eV/atom
1.0
-3.010 -2.289 -3.633
-2.972 -4.357 5.208
-7.117 4.209 -0.540
Na Hg Dy
1 6 5
Direct
0.000 0.000 0.000
0.832 0.752 0.336
0.832 0.248 0.336
0.500 0.256 0.000
0.500 0.744 0.000
0.168 0.752 0.664
0.168 0.248 0.664
0.666 0.500 0.668
0.338 0.000 0.325
0.000 0.500 0.000
0.662 0.000 0.675
0.334 0.500 0.332